# PBE Sm7AlTl4, relaxed
# uncorrected energy	-4.05	eV per atom
# E_form	-0.1940	eV/atom
# space-group type	C2/m
# density of states at the Fermi level	0.75	states/eV per atom
data_Sm7AlTl4
_cell_length_a 8.9641
_cell_length_b 8.9641
_cell_length_c 8.8368
_cell_angle_alpha 118.02
_cell_angle_beta 118.02
_cell_angle_gamma 36.48
_symmetry_space_group_name_H-M 'P 1'
_symmetry_Int_Tables_number 1
loop_
_symmetry_equiv_pos_as_xyz
'x,y,z'
loop_
_atom_site_label
_atom_site_fract_x
_atom_site_fract_y
_atom_site_fract_z
Sm1 0.0000 0.0000 0.0000
Sm2 0.2171 0.2171 0.6119
Sm3 0.3405 0.3405 0.0730
Sm4 0.4301 0.4301 0.6097
Sm5 0.5699 0.5699 0.3903
Sm6 0.6595 0.6595 0.9270
Sm7 0.7829 0.7829 0.3881
Al1 0.5000 0.5000 0.0000
Tl1 0.0562 0.0562 0.7023
Tl2 0.2078 0.2078 0.2379
Tl3 0.7922 0.7922 0.7621
Tl4 0.9438 0.9438 0.2977